(1)
# TeAu2Br6 | the Alexandria database | PBE-GGA | relaxed
# Energy above the most stable polymorph in this dataset = 0.116 eV/atom
# Raw formation energy = -0.12 eV/atom
# Crystal system = monoclinic
# Final energy = -2.31 eV per atom
data_TeAu2Br6
_chemical_formula_sum 'Te4 Au8 Br24'
_symmetry_space_group_name_H-M 'C 1 2/c 1'
_symmetry_Int_Tables_number 15
_cell_length_a 15.335
_cell_length_b 13.015
_cell_length_c 7.979
_cell_angle_alpha 90.00
_cell_angle_beta 109.51
_cell_angle_gamma 90.00
loop_
_symmetry_equiv_pos_as_xyz
'x,y,z'
'-x,-y,-z'
'-x,y,-z+1/2'
'x,-y,z+1/2'
'x+1/2,y+1/2,z'
'-x+1/2,-y+1/2,-z'
'-x+1/2,y+1/2,-z+1/2'
'x+1/2,-y+1/2,z+1/2'
loop_
_atom_site_label
_atom_site_type_symbol
_atom_site_fract_x
_atom_site_fract_y
_atom_site_fract_z
_atom_site_occupancy
Te1 Te 0.000 0.093 0.250 1
Au1 Au 0.225 0.470 0.266 1
Br1 Br 0.109 0.084 0.654 1
Br2 Br 0.110 0.223 0.193 1
Br3 Br 0.119 0.483 0.939 1

=====

(2)
# TeAuBr2 | the Alexandria database | PBE-GGA | relaxed
# Raw formation energy = -0.04 eV/atom
# Crystal system = trigonal
# Final energy = -2.48 eV per atom
data_TeAuBr2
_chemical_formula_sum 'Te3 Au3 Br6'
_symmetry_space_group_name_H-M 'R 3 m'
_symmetry_Int_Tables_number 160
_symmetry_space_group_name_Hall 'R 3 -2"'
_cell_length_a 4.0481
_cell_length_b 4.0481
_cell_length_c 24.2126
_cell_angle_alpha 90.00
_cell_angle_beta 90.00
_cell_angle_gamma 120.00
loop_
_atom_site_label
_atom_site_type_symbol
_atom_site_fract_x
_atom_site_fract_y
_atom_site_fract_z
_atom_site_occupancy
Te1 Te 0.0000 0.0000 0.0000 1
Au1 Au 0.0000 0.0000 0.7296 1
Br1 Br 0.0000 0.0000 0.2485 1
Br2 Br 0.0000 0.0000 0.4620 1

=====

(3)
# TeAuBr | the Alexandria database | PBE-GGA | relaxed
# Raw formation energy = -0.01 eV/atom
# Crystal system = tetragonal
# Final energy = -2.70 eV per atom
data_TeAuBr
_chemical_formula_sum 'Te2 Au2 Br2'
_symmetry_space_group_name_H-M 'I 4 m m'
_symmetry_Int_Tables_number 107
_symmetry_space_group_name_Hall 'I 4 -2'
_cell_length_a 4.011
_cell_length_b 4.011
_cell_length_c 11.592
_cell_angle_alpha 90.00
_cell_angle_beta 90.00
_cell_angle_gamma 90.00
loop_
_atom_site_label
_atom_site_type_symbol
_atom_site_fract_x
_atom_site_fract_y
_atom_site_fract_z
_atom_site_occupancy
Te1 Te 0.000 0.000 0.000 1
Au1 Au 0.000 0.000 0.482 1
Br1 Br 0.000 0.000 0.229 1

=====

(4)
# Te2AuBr | the Alexandria database | PBE-GGA | relaxed
# Raw formation energy = -0.11 eV/atom
# Crystal system = monoclinic
# Final energy = -2.92 eV per atom
data_Te2AuBr
_chemical_formula_sum 'Te8 Au4 Br4'
_symmetry_space_group_name_H-M 'P 1 21/c 1'
_symmetry_Int_Tables_number 14
_cell_length_a 9.112
_cell_length_b 5.327
_cell_length_c 12.634
_cell_angle_alpha 90.00
_cell_angle_beta 117.81
_cell_angle_gamma 90.00
loop_
_symmetry_equiv_pos_as_xyz
'x,y,z'
'-x,-y,-z'
'-x,y+1/2,-z+1/2'
'x,-y+1/2,z+1/2'
loop_
_atom_site_label
_atom_site_type_symbol
_atom_site_fract_x
_atom_site_fract_y
_atom_site_fract_z
_atom_site_occupancy
Te1 Te 0.041 0.249 0.131 1
Te2 Te 0.227 0.521 0.351 1
Au1 Au 0.248 0.639 0.698 1
Br1 Br 0.434 0.705 0.103 1

=====

(5)
# Te2AuBr | the Alexandria database | PBE-GGA | relaxed
# Raw formation energy = -0.19 eV/atom
# Crystal system = triclinic
# Final energy = -3.00 eV per atom
data_Te2AuBr
_chemical_formula_sum 'Te2 Au1 Br1'
_symmetry_space_group_name_H-M 'P 1'
_symmetry_Int_Tables_number 1
_cell_length_a 4.091
_cell_length_b 4.794
_cell_length_c 7.009
_cell_angle_alpha 105.25
_cell_angle_beta 106.83
_cell_angle_gamma 90.01
loop_
_symmetry_equiv_pos_as_xyz
'x,y,z'
loop_
_atom_site_label
_atom_site_type_symbol
_atom_site_fract_x
_atom_site_fract_y
_atom_site_fract_z
_atom_site_occupancy
Te1 Te 0.000 0.000 0.000 1
Te2 Te 0.168 0.729 0.338 1
Au1 Au 0.583 0.363 0.168 1
Br1 Br 0.346 0.464 0.688 1

=====

(6)
# Te2AuBr | the Alexandria database | PBE-GGA | relaxed
# Raw formation energy = 0.08 eV/atom
# Crystal system = orthorhombic
# Final energy = -2.73 eV per atom
data_Te2AuBr
_chemical_formula_sum 'Te4 Au2 Br2'
_symmetry_space_group_name_H-M 'C m m m'
_symmetry_Int_Tables_number 65
_symmetry_space_group_name_Hall '-C 2 2'
_cell_length_a 4.137
_cell_length_b 6.658
_cell_length_c 8.442
_cell_angle_alpha 90.00
_cell_angle_beta 90.00
_cell_angle_gamma 90.00
loop_
_atom_site_label
_atom_site_type_symbol
_atom_site_fract_x
_atom_site_fract_y
_atom_site_fract_z
_atom_site_occupancy
Te1 Te 0.000 0.000 0.208 1
Au1 Au 0.000 0.500 0.000 1
Br1 Br 0.000 0.500 0.500 1

=====

(7)
# Te4AuBr | the Alexandria database | PBE-GGA | relaxed
# Energy above the most stable polymorph in this dataset = 0.000 eV/atom
# Raw formation energy = -0.04 eV/atom
# Crystal system = triclinic
# Final energy = -2.96 eV per atom
data_Te4AuBr
_chemical_formula_sum 'Te4 Au1 Br1'
_symmetry_space_group_name_H-M 'P -1'
_symmetry_Int_Tables_number 2
_cell_length_a 5.234
_cell_length_b 6.629
_cell_length_c 6.672
_cell_angle_alpha 73.82
_cell_angle_beta 80.60
_cell_angle_gamma 75.50
loop_
_symmetry_equiv_pos_as_xyz
'x,y,z'
'-x,-y,-z'
loop_
_atom_site_label
_atom_site_type_symbol
_atom_site_fract_x
_atom_site_fract_y
_atom_site_fract_z
_atom_site_occupancy
Te1 Te 0.169 0.355 0.151 1
Te2 Te 0.322 0.684 0.239 1
Au1 Au 0.000 0.000 0.000 1
Br1 Br 0.500 0.000 0.500 1

=====

(8)
# Te2AuBr | the Alexandria database | PBE-GGA | relaxed
# Raw formation energy = 0.16 eV/atom
# Crystal system = trigonal
# Final energy = -2.65 eV per atom
data_Te2AuBr
_chemical_formula_sum 'Te2 Au1 Br1'
_symmetry_space_group_name_H-M 'P 3 m 1'
_symmetry_Int_Tables_number 156
_cell_length_a 3.7302
_cell_length_b 3.7302
_cell_length_c 9.7420
_cell_angle_alpha 90.00
_cell_angle_beta 90.00
_cell_angle_gamma 120.00
loop_
_symmetry_equiv_pos_as_xyz
'x,y,z'
'-y,x-y,z'
'-x+y,-x,z'
'-y,-x,z'
'-x+y,y,z'
'x,x-y,z'
loop_
_atom_site_label
_atom_site_type_symbol
_atom_site_fract_x
_atom_site_fract_y
_atom_site_fract_z
_atom_site_occupancy
Te1 Te 0.0000 0.0000 0.0000 1
Te2 Te 0.3333 0.6667 0.5534 1
Au1 Au 0.0000 0.0000 0.7303 1
Br1 Br 0.6667 0.3333 0.3244 1